[1]
Tb4NdHg2: relaxed, PBE.

E (eV/cell): -98.08
Spin magnetization (Bohr magnetons per cell): 0.3
Formation energy (eV per atom): -0.090
Distance to the lowest polymorph of the same formula (eV per atom): 0.000
ρ (g cm⁻³): 9.0

```
data_Tb4NdHg2
_chemical_formula_sum 'Tb16 Nd4 Hg8'
_cell_length_a 17.7184
_cell_length_b 3.5730
_cell_length_c 15.4470
_cell_angle_alpha 90.00
_cell_angle_beta 117.06
_cell_angle_gamma 90.00
_space_group_name_H-M_alt 'C 1 2/m 1'
_space_group_IT_number 12
loop_
_space_group_symop_operation_xyz
'x,y,z'
'-x,-y,-z'
'-x,y,-z'
'x,-y,z'
'x+1/2,y+1/2,z'
'-x+1/2,-y+1/2,-z'
'-x+1/2,y+1/2,-z'
'x+1/2,-y+1/2,z'
loop_
_atom_site_label
_atom_site_type_symbol
_atom_site_fract_x
_atom_site_fract_y
_atom_site_fract_z
Tb1 Tb 0.0318 0.0000 0.1535
Tb2 Tb 0.1545 0.5000 0.8807
Tb3 Tb 0.1761 0.0000 0.5241
Tb4 Tb 0.2331 0.5000 0.2238
Nd1 Nd 0.0407 0.0000 0.6442
Hg1 Hg 0.1195 0.5000 0.3393
Hg2 Hg 0.1416 0.0000 0.0408
```

=====

[2]
Al6SiTc2: relaxed, PBE.

E (eV/cell): -100.65
Spin magnetization (Bohr magnetons per cell): 0.0
E_form (uncorrected) (eV/atom): -0.190
Distance to the lowest polymorph of the same formula (eV per atom): 0.039
ρ (g cm⁻³): 4.6

```
data_Al6SiTc2
_chemical_formula_sum 'Al12 Si2 Tc4'
_cell_length_a 5.3186
_cell_length_b 6.3069
_cell_length_c 9.0157
_cell_angle_alpha 90.00
_cell_angle_beta 112.51
_cell_angle_gamma 90.00
_space_group_name_H-M_alt 'P 1 21/c 1'
_space_group_IT_number 14
loop_
_space_group_symop_operation_xyz
'x,y,z'
'-x,-y,-z'
'-x,y+1/2,-z+1/2'
'x,-y+1/2,z+1/2'
loop_
_atom_site_label
_atom_site_type_symbol
_atom_site_fract_x
_atom_site_fract_y
_atom_site_fract_z
Al1 Al 0.0860 0.0288 0.2392
Al2 Al 0.1372 0.6973 0.0443
Al3 Al 0.3270 0.1142 0.0206
Si1 Si 0.5000 0.0000 0.5000
Tc1 Tc 0.3699 0.1141 0.7342
```